(1)
# NaSi3Sn

A geometry-optimized NaSi3Sn structure (GGA-PBE, the Alexandria database).

As for the polymorph energy (0 for the lowest one): 294 meV per atom. As for the formation energy from raw total energies: 1327 meV per atom. The total DFT energy (no corrections) is -2.992 eV per atom.

The structure belongs to space group Pm-3m (No. 221); the cell edges are 4.976, 4.976 and 4.976 Å and the angles 90.00°, 90.00° and 90.00°. The inequivalent atoms are Na at (0.000, 0.000, 0.000), Si at (0.000, 0.000, 0.500) and Sn at (0.500, 0.500, 0.500).



(2)
# Cs3Rb3VI8

A geometry-optimized Cs3Rb3VI8 structure (GGA-PBE, the Alexandria database).

As for the formation energy from raw total energies: -1276 meV per atom. The total DFT energy (no corrections) is -3.075 eV per atom.

The structure belongs to space group R-3m (No. 166, hexagonal axes); the cell edges are 10.4783, 10.4783 and 26.4984 Å and the angles 90.00°, 90.00° and 120.00°. The inequivalent atoms are Cs at (0.0000, 0.5000, 0.0000), Rb at (0.0000, 0.5000, 0.5000), V at (0.0000, 0.0000, 0.5000), I at (0.0000, 0.0000, 0.2452) and I at (0.0680, 0.5340, 0.2299).



(3)
# ZrSbMo2

A geometry-optimized ZrSbMo2 structure (GGA-PBE, the Alexandria database).

As for the formation energy from raw total energies: 275 meV per atom. The total DFT energy (no corrections) is -8.309 eV per atom.

The structure belongs to space group Cmmm (No. 65); the cell edges are 3.461, 5.012 and 8.790 Å and the angles 90.00°, 90.00° and 90.00°. The inequivalent atoms are Zr at (0.000, 0.000, 0.000), Sb at (0.000, 0.000, 0.500) and Mo at (0.000, 0.500, 0.254).



(4)
# Tb7Sm6Tm16

A geometry-optimized Tb7Sm6Tm16 structure (GGA-PBE, the Alexandria database).

The value obtained for the formation energy is 0.249 eV/atom. The total DFT energy (no corrections) is -4.312 eV per atom.

The structure belongs to space group Fm-3m (No. 225); the cell edges are 15.672, 15.672 and 15.672 Å and the angles 90.00°, 90.00° and 90.00°. The inequivalent atoms are Tb at (0.000, 0.000, 0.000), Tb at (0.000, 0.250, 0.250), Sm at (0.000, 0.000, 0.269), Tm at (0.127, 0.127, 0.127) and Tm at (0.150, 0.150, 0.350).



(5)
# In2MoCl

A geometry-optimized In2MoCl structure (GGA-PBE, the Alexandria database).

As for the polymorph energy (0 for the lowest one): 534 meV per atom. As for the formation energy from raw total energies: 615 meV per atom. The total DFT energy (no corrections) is -3.924 eV per atom.

The structure belongs to space group I-42d (No. 122); the cell edges are 7.875, 7.875 and 6.107 Å and the angles 90.00°, 90.00° and 90.00°. The inequivalent atoms are In at (0.234, 0.250, 0.125), Mo at (0.000, 0.000, 0.000) and Cl at (0.000, 0.000, 0.500).



(6)
# Tl4C23

A geometry-optimized Tl4C23 structure (GGA-PBE, the Alexandria database).

The value obtained for the formation energy is 1.570 eV/atom. The total DFT energy (no corrections) is -6.638 eV per atom.

The structure belongs to space group Pm-3n (No. 223); the cell edges are 7.623, 7.623 and 7.623 Å and the angles 90.00°, 90.00° and 90.00°. The inequivalent atoms are Tl at (0.000, 0.000, 0.000), Tl at (0.000, 0.250, 0.500), C at (0.000, 0.283, 0.199), C at (0.000, 0.500, 0.250) and C at (0.188, 0.188, 0.188).



(7)
# LiVBiSb2

A geometry-optimized LiVBiSb2 structure (GGA-PBE, the Alexandria database).

As for the formation energy from raw total energies: 875 meV per atom. The total DFT energy (no corrections) is -3.757 eV per atom.

The structure belongs to space group P4/mmm (No. 123); the cell edges are 4.923, 4.923 and 5.046 Å and the angles 90.00°, 90.00° and 90.00°. The inequivalent atoms are Li at (0.000, 0.000, 0.000), V at (0.500, 0.500, 0.500), Bi at (0.000, 0.000, 0.500) and Sb at (0.000, 0.500, 0.000).



(8)
# ZrTl3Se3

A geometry-optimized ZrTl3Se3 structure (GGA-PBE, the Alexandria database).

As for the formation energy from raw total energies: -713 meV per atom. The total DFT energy (no corrections) is -4.441 eV per atom.

The structure belongs to space group P2_1/m (No. 11); the cell edges are 8.929, 3.901 and 11.742 Å and the angles 90.00°, 92.16° and 90.00°. The inequivalent atoms are Zr at (0.107, 0.250, 0.378), Tl at (0.183, 0.250, 0.892), Tl at (0.355, 0.750, 0.127), Tl at (0.400, 0.750, 0.663), Se at (0.082, 0.250, 0.151), Se at (0.110, 0.250, 0.614) and Se at (0.323, 0.750, 0.395).



(9)
# ErTm7Hg4

A geometry-optimized ErTm7Hg4 structure (GGA-PBE, the Alexandria database).

The value obtained for the formation energy is -0.078 eV/atom. The total DFT energy (no corrections) is -3.167 eV per atom.

The structure belongs to space group C2/m (No. 12); the cell edges are 14.420, 5.623 and 9.608 Å and the angles 90.00°, 122.11° and 90.00°. The inequivalent atoms are Er at (0.000, 0.000, 0.000), Tm at (0.000, 0.500, 0.000), Tm at (0.067, 0.000, 0.406), Tm at (0.209, 0.000, 0.885), Tm at (0.235, 0.500, 0.687), Hg at (0.047, 0.500, 0.724) and Hg at (0.189, 0.500, 0.339).



(10)
# Ca2MgSnH

A geometry-optimized Ca2MgSnH structure (GGA-PBE, the Alexandria database).

The total DFT energy (no corrections) is -3.025 eV per atom.

The structure belongs to space group P4/mmm (No. 123); the cell edges are 4.826, 4.826 and 4.675 Å and the angles 90.00°, 90.00° and 90.00°. The inequivalent atoms are Ca at (0.000, 0.500, 0.000), Mg at (0.000, 0.000, 0.500), Sn at (0.500, 0.500, 0.500) and H at (0.000, 0.000, 0.000).



(11)
# Mn2FeAu

A geometry-optimized Mn2FeAu structure (GGA-PBE, the Alexandria database).

As for the polymorph energy (0 for the lowest one): 139 meV per atom. The value obtained for the formation energy is 0.279 eV/atom. The total DFT energy (no corrections) is -7.241 eV per atom.

The structure belongs to space group C2/m (No. 12); the cell edges are 8.861, 2.801 and 4.848 Å and the angles 90.00°, 101.80° and 90.00°. The inequivalent atoms are Mn at (0.246, 0.000, 0.232), Fe at (0.000, 0.500, 0.000) and Au at (0.000, 0.000, 0.500).



> Which value of total DFT energy (no corrections) does entry 9 give?

-3.167 eV per atom



> total DFT energy (no corrections) of number 3 (ZrSbMo2)?

-8.309 eV per atom



> total DFT energy (no corrections) of number 3 (ZrSbMo2)?

-8.309 eV per atom



> Which of these has the highest total DFT energy (no corrections)?

NaSi3Sn